A geometry-optimized Re3AuI structure. Source: Alexandria, functional PBEsol.

Lattice parameters (Å, degrees): 4.731 4.731 4.731 90.00 90.00 90.00
Atoms (fractional coordinates):
1 Re 0.000 0.500 0.000
2 Re 0.500 0.000 0.000
3 I 0.000 0.000 0.000
4 Au 0.500 0.500 0.500
5 Re 0.000 0.000 0.500

Computed properties:
Size of the total moment ... 0.6 μB/f.u.
E_form (uncorrected) ... 2.99 eV/atom

=====

A geometry-optimized K3ZnOs structure. Source: Alexandria, functional PBEsol.

Lattice parameters (Å, degrees): 6.011 6.011 6.011 90.00 90.00 90.00
Atoms (fractional coordinates):
1 K 0.000 0.500 0.000
2 Os 0.500 0.500 0.500
3 Zn 0.000 0.000 0.000
4 K 0.500 0.000 0.000
5 K 0.000 0.000 0.500

Computed properties:
Formation enthalpy at 0 K ... 1.65 eV per atom
Size of the total moment ... 2.6 μB/f.u.

=====

A geometry-optimized La2BeTl structure. Source: Alexandria, functional PBEsol.

Lattice parameters (Å, degrees): 3.665 5.214 6.123 115.16 107.42 90.00
Atoms (fractional coordinates):
1 Tl 0.550 0.550 0.101
2 La 0.759 0.259 0.518
3 Be 0.222 0.723 0.444
4 La 0.969 0.968 0.937

Computed properties:
Polymorph energy (0 for the lowest one) ... 0.000 eV per atom
Formation enthalpy at 0 K ... -0.09 eV per atom
Size of the total moment ... 0.0 μB/f.u.

=====

A geometry-optimized KSiI2N structure. Source: Alexandria, functional PBEsol.

Lattice parameters (Å, degrees): 3.412 5.991 5.991 90.00 90.00 90.00
Atoms (fractional coordinates):
1 I 0.000 0.500 0.000
2 N 0.500 0.000 0.000
3 K 0.500 0.500 0.500
4 I 0.000 0.000 0.500
5 Si 0.000 0.000 0.000

Computed properties:
Polymorph energy (0 for the lowest one) ... 0.000 eV per atom
Size of the total moment ... 0.0 μB/f.u.
E_form (uncorrected) ... -0.35 eV/atom

=====

A geometry-optimized Li2LaAg2 structure. Source: Alexandria, functional PBEsol.

Lattice parameters (Å, degrees): 3.051 7.960 7.960 90.00 90.00 90.00
Atoms (fractional coordinates):
1 La 0.000 0.000 0.000
2 Ag 0.500 0.178 0.678
3 La 0.000 0.500 0.500
4 Ag 0.500 0.322 0.178
5 Ag 0.500 0.822 0.322
6 Li 0.000 0.885 0.615
7 Li 0.000 0.385 0.885
8 Li 0.000 0.615 0.115
9 Li 0.000 0.115 0.385
10 Ag 0.500 0.678 0.822

Computed properties:
Polymorph energy (0 for the lowest one) ... 0.031 eV per atom
Formation enthalpy at 0 K ... -0.15 eV per atom
Size of the total moment ... 0.0 μB/f.u.

=====

A geometry-optimized MgMnP2 structure. Source: Alexandria, functional PBEsol.

Lattice parameters (Å, degrees): 4.362 4.362 4.362 60.00 60.00 60.00
Atoms (fractional coordinates):
1 P 0.000 0.000 0.000
2 P 0.750 0.750 0.750
3 Mg 0.500 0.500 0.500
4 Mn 0.250 0.250 0.250

Computed properties:
Formation enthalpy at 0 K ... 0.36 eV per atom
Size of the total moment ... 3.1 μB/f.u.